--- w ---
Crystalline UIrRh2 at its relaxed geometry. Source: Alexandria, functional GGA-PBE.

Geometry as POSCAR:
```
UIrRh2
1.0
4.029 0.000 0.000
0.000 4.029 0.000
0.000 0.000 4.036
U Ir Rh
1 1 2
Direct
0.000 0.000 0.000
0.500 0.500 0.000
0.000 0.500 0.500
0.500 0.000 0.500
```

M_tot ... 0.00 Bohr magnetons per cell
Calculated volume ... 65.5 Å³/cell
Symmetry ... P4/mmm

***

--- x ---
Crystalline UIrRh2 at its relaxed geometry. Source: Alexandria, functional GGA-PBE.

Geometry as POSCAR:
```
UIrRh2
1.0
2.258 1.304 3.805
-2.258 1.304 3.805
0.000 -2.607 3.805
U Ir Rh
1 1 2
Direct
0.000 0.000 0.000
0.500 0.500 0.500
0.260 0.260 0.260
0.740 0.740 0.740
```

M_tot ... 0.02 Bohr magnetons per cell
Calculated volume ... 67.2 Å³/cell
Symmetry ... R-3m

***

Last place for stability: x

***

--- w ---
Crystalline VIr4Rh2 at its relaxed geometry. Source: Alexandria, functional GGA-PBE.

Geometry as POSCAR:
```
VIr4Rh2
1.0
1.359 -10.294 0.000
1.359 10.294 0.000
0.000 0.000 3.794
V Ir Rh
1 4 2
Direct
0.000 0.000 0.000
0.132 0.868 0.000
0.435 0.565 0.500
0.565 0.435 0.500
0.868 0.132 0.000
0.304 0.696 0.500
0.696 0.304 0.500
```

M_tot ... 0.00 Bohr magnetons per cell
Calculated volume ... 106.2 Å³/cell
Symmetry ... Cmmm

***

--- x ---
Crystalline VIr4Rh2 at its relaxed geometry. Source: Alexandria, functional GGA-PBE.

Geometry as POSCAR:
```
VIr4Rh2
1.0
1.823 -8.193 0.000
1.823 8.193 0.000
0.000 0.000 7.984
V Ir Rh
2 8 4
Direct
0.092 0.908 0.750
0.908 0.092 0.250
0.000 0.000 0.000
0.000 0.000 0.500
0.381 0.619 0.022
0.381 0.619 0.478
0.484 0.516 0.750
0.516 0.484 0.250
0.619 0.381 0.522
0.619 0.381 0.978
0.230 0.770 0.598
0.230 0.770 0.902
0.770 0.230 0.098
0.770 0.230 0.402
```

M_tot ... 0.00 Bohr magnetons per cell
Calculated volume ... 238.6 Å³/cell
Symmetry ... Cmcm

***

Last place for stability: x

***

--- w ---
Crystalline V2Ir2Rh3 at its relaxed geometry. Source: Alexandria, functional GGA-PBE.

Geometry as POSCAR:
```
V2Ir2Rh3
1.0
2.728 0.000 0.000
0.000 2.774 0.000
-1.354 0.000 13.724
V Ir Rh
2 2 3
Direct
0.145 0.000 0.291
0.855 0.000 0.709
0.418 0.500 0.834
0.582 0.500 0.166
0.000 0.500 0.000
0.293 0.500 0.585
0.707 0.500 0.415
```

M_tot ... 0.00 Bohr magnetons per cell
Calculated volume ... 103.9 Å³/cell
Symmetry ... P2/m

***

--- x ---
Crystalline V2Ir2Rh3 at its relaxed geometry. Source: Alexandria, functional GGA-PBE.

Geometry as POSCAR:
```
V2Ir2Rh3
1.0
-1.358 2.102 8.733
1.358 -2.102 8.733
1.358 2.102 -8.733
V Ir Rh
2 2 3
Direct
0.147 0.147 0.000
0.853 0.853 0.000
0.427 0.927 0.500
0.573 0.073 0.500
0.000 0.500 0.500
0.292 0.292 0.000
0.708 0.708 0.000
```

M_tot ... 0.00 Bohr magnetons per cell
Calculated volume ... 99.7 Å³/cell
Symmetry ... Immm

***

Last place for stability: w

***

--- w ---
Crystalline V3Ir2Rh2 at its relaxed geometry. Source: Alexandria, functional GGA-PBE.

Geometry as POSCAR:
```
V3Ir2Rh2
1.0
5.785 -1.371 0.000
5.785 1.371 0.000
-2.463 0.000 6.188
V Ir Rh
3 2 2
Direct
0.000 0.000 0.000
0.288 0.288 0.842
0.712 0.712 0.158
0.418 0.418 0.254
0.582 0.582 0.746
0.138 0.138 0.422
0.862 0.862 0.578
```

M_tot ... 0.00 Bohr magnetons per cell
Calculated volume ... 98.2 Å³/cell
Symmetry ... C2/m

***

--- x ---
Crystalline V3Ir2Rh2 at its relaxed geometry. Source: Alexandria, functional GGA-PBE.

Geometry as POSCAR:
```
V3Ir2Rh2
1.0
1.805 -10.092 0.000
1.805 10.092 0.000
0.000 0.000 2.763
V Ir Rh
3 2 2
Direct
0.000 0.000 0.000
0.145 0.855 0.000
0.855 0.145 0.000
0.299 0.701 0.500
0.701 0.299 0.500
0.433 0.567 0.500
0.567 0.433 0.500
```

M_tot ... 0.00 Bohr magnetons per cell
Calculated volume ... 100.6 Å³/cell
Symmetry ... Cmmm

***

Last place for stability: x